(1)
Computed, not measured: an optimized crystal structure of MgTl2 at the GGA-PBE level of DFT.

POSCAR file:
```
MgTl2
1.0
3.194 0.000 0.000
0.000 5.561 0.000
0.000 -2.780 4.816
Mg Tl
1 2
Cartesian
1.597 0.000 0.000 Mg
0.000 2.780 1.605 Tl
0.000 0.000 3.211 Tl
```

Computed properties:
Formation enthalpy at 0 K   88 meV/atom
Energy above the lowest structure with this stoichiometry   105 meV/atom


(2)
Computed, not measured: an optimized crystal structure of Mg13Tl3 at the GGA-PBE level of DFT.

POSCAR file:
```
Mg13Tl3
1.0
7.646 -0.262 0.000
-0.289 7.645 0.000
0.000 0.000 6.499
Mg Tl
13 3
Cartesian
3.849 7.181 1.634 Mg
0.190 3.509 1.634 Mg
1.418 5.944 0.000 Mg
5.318 2.059 3.250 Mg
3.324 4.045 4.838 Mg
1.403 5.959 3.250 Mg
3.324 4.045 1.662 Mg
0.190 3.509 4.866 Mg
3.849 7.181 4.866 Mg
2.213 1.545 3.250 Mg
2.161 1.553 0.000 Mg
5.812 5.217 0.000 Mg
5.820 5.165 3.250 Mg
7.381 0.003 1.631 Tl
5.227 2.149 0.000 Tl
7.381 0.003 4.868 Tl
```

Computed properties:
Formation enthalpy at 0 K   -12 meV/atom


(3)
Computed, not measured: an optimized crystal structure of Mg8Tl3 at the GGA-PBE level of DFT.

POSCAR file:
```
Mg8Tl3
1.0
4.495 0.000 0.000
-2.247 4.958 -1.026
0.000 -0.350 11.725
Mg Tl
8 3
Cartesian
0.000 1.660 2.805 Mg
2.247 2.948 7.894 Mg
2.247 2.184 0.577 Mg
0.000 4.412 1.188 Mg
0.000 3.433 5.640 Mg
2.247 0.196 9.511 Mg
2.247 1.175 5.059 Mg
0.000 2.424 10.122 Mg
0.000 0.807 7.345 Tl
2.247 3.801 3.354 Tl
0.000 0.000 0.000 Tl
```

Computed properties:
Formation enthalpy at 0 K   -24 meV/atom
Energy above the lowest structure with this stoichiometry   0 meV/atom


- What is the formation enthalpy at 0 K in the third record?
  -24 meV/atom


Copy entry 2 word for word.
Computed, not measured: an optimized crystal structure of Mg13Tl3 at the GGA-PBE level of DFT.

POSCAR file:
```
Mg13Tl3
1.0
7.646 -0.262 0.000
-0.289 7.645 0.000
0.000 0.000 6.499
Mg Tl
13 3
Cartesian
3.849 7.181 1.634 Mg
0.190 3.509 1.634 Mg
1.418 5.944 0.000 Mg
5.318 2.059 3.250 Mg
3.324 4.045 4.838 Mg
1.403 5.959 3.250 Mg
3.324 4.045 1.662 Mg
0.190 3.509 4.866 Mg
3.849 7.181 4.866 Mg
2.213 1.545 3.250 Mg
2.161 1.553 0.000 Mg
5.812 5.217 0.000 Mg
5.820 5.165 3.250 Mg
7.381 0.003 1.631 Tl
5.227 2.149 0.000 Tl
7.381 0.003 4.868 Tl
```

Computed properties:
Formation enthalpy at 0 K   -12 meV/atom